NbIrCl2, relaxed, DFT GGA-PBE; energy relative to the lowest polymorph listed for this composition = 0.667 eV per atom; calculated total energy = -4.99 eV/atom; formation energy from raw total energies = 0.663 eV per atom
1.0
0.000 3.164 3.164
3.164 0.000 3.164
3.164 3.164 0.000
Nb Ir Cl
1 1 2
direct
0.000 0.000 0.000
0.500 0.500 0.500
0.250 0.250 0.250
0.750 0.750 0.750